Version one
VASP calculation (GGA-PBE) on crystalline SrZr2Ta at its relaxed geometry.

Cell lengths 5.1456, 5.1456, 5.1456 Å; angles 60.00, 60.00, 60.00 degrees
Element x y z (fractional)
Sr 0.0000 0.0000 0.0000
Zr 0.2500 0.2500 0.2500
Zr 0.7500 0.7500 0.7500
Ta 0.5000 0.5000 0.5000

Values from the calculation:
- DOS at the Fermi energy (states/eV/f.u.) = 6.25
- size of the total moment (μB per cell) = 0.0

---

Version two
VASP calculation (GGA-PBE) on crystalline SrZr2Ta at its relaxed geometry.

Cell lengths 3.7016, 3.7016, 7.9088 Å; angles 90.00, 90.00, 90.00 degrees
Element x y z (fractional)
Sr 0.0000 0.0000 0.5248
Ta 0.5000 0.5000 0.8218
Zr 0.0000 0.0000 0.9721
Zr 0.5000 0.5000 0.1814

Values from the calculation:
- DOS at the Fermi energy (states/eV/f.u.) = 5.13
- size of the total moment (μB per cell) = 0.0

---

Version three
VASP calculation (GGA-PBE) on crystalline SrZr2Ta at its relaxed geometry.

Cell lengths 4.8326, 4.8343, 4.1660 Å; angles 90.00, 90.00, 90.00 degrees
Element x y z (fractional)
Sr 0.5000 0.0000 0.5000
Ta 0.0000 0.5000 0.5000
Zr 0.0000 0.0000 0.0000
Zr 0.5000 0.5000 0.0000

Values from the calculation:
- DOS at the Fermi energy (states/eV/f.u.) = 5.29
- size of the total moment (μB per cell) = 0.0

---

The structure with the least stability is version three.

---

Version one
VASP calculation (GGA-PBE) on crystalline SrZrTa3 at its relaxed geometry.

Cell lengths 5.0901, 5.0901, 5.0901 Å; angles 90.00, 90.00, 90.00 degrees
Element x y z (fractional)
Sr 0.5000 0.5000 0.5000
Zr 0.0000 0.0000 0.0000
Ta 0.0000 0.5000 0.0000
Ta 0.0000 0.0000 0.5000
Ta 0.5000 0.0000 0.0000

Values from the calculation:
- DOS at the Fermi energy (states/eV/f.u.) = 8.13
- size of the total moment (μB per cell) = 0.0

---

Version two
VASP calculation (GGA-PBE) on crystalline SrZrTa3 at its relaxed geometry.

Cell lengths 4.8882, 4.8882, 4.8882 Å; angles 90.00, 90.00, 90.00 degrees
Element x y z (fractional)
Sr 0.0000 0.0000 0.0000
Zr 0.5000 0.5000 0.5000
Ta 0.0000 0.5000 0.0000
Ta 0.0000 0.0000 0.5000
Ta 0.5000 0.0000 0.0000

Values from the calculation:
- DOS at the Fermi energy (states/eV/f.u.) = 8.00
- size of the total moment (μB per cell) = 0.0

---

The structure with the least stability is version two.

---

Version one
VASP calculation (GGA-PBE) on crystalline SrZrTa at its relaxed geometry.

Cell lengths 8.4822, 8.4822, 8.4822 Å; angles 159.02, 159.02, 29.84 degrees
Element x y z (fractional)
Sr 0.9920 0.9920 0.0000
Ta 0.3183 0.3183 0.0000
Zr 0.6897 0.6897 0.0000

Values from the calculation:
- DOS at the Fermi energy (states/eV/f.u.) = 3.60
- size of the total moment (μB per cell) = 0.0

---

Version two
VASP calculation (GGA-PBE) on crystalline SrZrTa at its relaxed geometry.

Cell lengths 8.4756, 8.3632, 3.1349 Å; angles 81.30, 77.26, 21.45 degrees
Element x y z (fractional)
Sr 0.9907 0.9907 0.0093
Ta 0.3180 0.3180 0.6820
Zr 0.6912 0.6912 0.3088

Values from the calculation:
- DOS at the Fermi energy (states/eV/f.u.) = 4.23
- size of the total moment (μB per cell) = 0.0

---

The structure with the least stability is version one.

---

Version one
VASP calculation (GGA-PBE) on crystalline SrZrTa at its relaxed geometry.

Cell lengths 6.6332, 6.6332, 6.6332 Å; angles 151.41, 143.63, 46.90 degrees
Element x y z (fractional)
Sr 0.9949 0.9949 0.0000
Ta 0.3011 0.3011 0.0000
Zr 0.7040 0.7040 0.0000

Values from the calculation:
- DOS at the Fermi energy (states/eV/f.u.) = 3.60
- size of the total moment (μB per cell) = 0.0

---

Version two
VASP calculation (GGA-PBE) on crystalline SrZrTa at its relaxed geometry.

Cell lengths 5.4459, 5.4459, 2.8543 Å; angles 90.00, 90.00, 120.00 degrees
Element x y z (fractional)
Sr 0.0000 0.0000 0.8324
Ta 0.6667 0.3333 0.3334
Zr 0.3333 0.6667 0.8341

Values from the calculation:
- DOS at the Fermi energy (states/eV/f.u.) = 2.42
- size of the total moment (μB per cell) = 0.0

---

Version three
VASP calculation (GGA-PBE) on crystalline SrZrTa at its relaxed geometry.

Cell lengths 3.2506, 3.2506, 8.4136 Å; angles 90.00, 90.00, 120.00 degrees
Element x y z (fractional)
Sr 0.0000 0.0000 0.0124
Ta 0.6667 0.3333 0.3561
Zr 0.3333 0.6667 0.6314

Values from the calculation:
- DOS at the Fermi energy (states/eV/f.u.) = 4.69
- size of the total moment (μB per cell) = 0.0

---

The structure with the least stability is version two.